Record 1
The following is a DFT calculation (GGA-PBE) of an optimized crystal structure of BaCa2AgRh.

The structure belongs to space group P4/mmm (No. 123); the cell edges are 5.355, 5.355 and 5.637 Å and the angles 90.00°, 90.00° and 90.00°. The distinct sites, in fractional coordinates, are Ba at (0.000, 0.000, 0.000), Ca at (0.000, 0.500, 0.500), Ag at (0.500, 0.500, 0.000) and Rh at (0.500, 0.500, 0.500).

Its energy relative to the lowest polymorph listed for this composition is 16 meV per atom. The value obtained for the formation energy is -0.12 eV per atom.

---

Record 2
The following is a DFT calculation (GGA-PBE) of an optimized crystal structure of In2SiB2.

The structure belongs to space group P4/mbm (No. 127); the cell edges are 5.669, 5.669 and 4.882 Å and the angles 90.00°, 90.00° and 90.00°. The distinct sites, in fractional coordinates, are In at (0.193, 0.307, 0.000), Si at (0.000, 0.000, 0.500) and B at (0.106, 0.606, 0.500).

Its energy relative to the lowest polymorph listed for this composition is 0 meV per atom. The calculation puts the raw formation energy at 79.4 kJ/mol of atoms.